1.
VASP calculation (PBE-GGA) on an optimized crystal structure of PmGaNiPd.

Summary:
D(E_F): 0.497 states/eV per atom
Size of the total moment: 0.000 Bohr magnetons per cell
Total DFT energy (no corrections): -21.3 eV per cell
Energy relative to the lowest polymorph listed for this composition: 0.000 eV per atom
Crystal system: trigonal

Cell lengths 5.342, 5.342, 5.342 Å; angles 47.47, 47.47, 47.47 degrees
Fractional coordinates of all 4 atoms:
Pm  0.000  0.000  0.000
Ga  0.488  0.488  0.488
Ni  0.796  0.796  0.796
Pd  0.208  0.208  0.208

---

2.
VASP calculation (PBE-GGA) on an optimized crystal structure of PrGa4NiPd2.

Summary:
D(E_F): 0.478 states/eV per atom
Size of the total moment: 0.000 Bohr magnetons per cell
Total DFT energy (no corrections): -37.8 eV per cell
Crystal system: trigonal

Cell lengths 9.192, 9.192, 9.192 Å; angles 26.88, 26.88, 26.88 degrees
Fractional coordinates of all 8 atoms:
Pr  0.000  0.000  0.000
Ga  0.135  0.135  0.135
Ga  0.403  0.403  0.403
Ga  0.597  0.597  0.597
Ga  0.865  0.865  0.865
Ni  0.500  0.500  0.500
Pd  0.235  0.235  0.235
Pd  0.765  0.765  0.765

---

3.
VASP calculation (PBE-GGA) on an optimized crystal structure of PrGa2Ni2Pd.

Summary:
D(E_F): 0.515 states/eV per atom
Size of the total moment: 0.000 Bohr magnetons per cell
Total DFT energy (no corrections): -28.1 eV per cell
Crystal system: tetragonal

Cell lengths 4.671, 4.671, 5.427 Å; angles 90.00, 90.00, 90.00 degrees
Fractional coordinates of all 6 atoms:
Pr  0.000  0.000  0.000
Ga  0.000  0.500  0.500
Ga  0.500  0.000  0.500
Ni  0.500  0.500  0.249
Ni  0.500  0.500  0.751
Pd  0.000  0.000  0.500

---

4.
VASP calculation (PBE-GGA) on an optimized crystal structure of PrGaNiPd.

Summary:
D(E_F): 0.524 states/eV per atom
Size of the total moment: 0.000 Bohr magnetons per cell
Total DFT energy (no corrections): -21.3 eV per cell
Crystal system: trigonal

Cell lengths 5.449, 5.449, 5.449 Å; angles 46.58, 46.58, 46.58 degrees
Fractional coordinates of all 4 atoms:
Pr  0.000  0.000  0.000
Ga  0.511  0.511  0.511
Ni  0.203  0.203  0.203
Pd  0.794  0.794  0.794

---

5.
VASP calculation (PBE-GGA) on an optimized crystal structure of Pr2Ga3NiPd4.

Summary:
D(E_F): 0.847 states/eV per atom
Size of the total moment: 0.000 Bohr magnetons per cell
Total DFT energy (no corrections): -52.2 eV per cell
Crystal system: tetragonal

Cell lengths 4.293, 4.293, 10.433 Å; angles 90.00, 90.00, 90.00 degrees
Fractional coordinates of all 10 atoms:
Pr  0.000  0.500  0.240
Pr  0.500  0.000  0.760
Ga  0.000  0.000  0.000
Ga  0.000  0.500  0.629
Ga  0.500  0.000  0.371
Ni  0.500  0.500  0.000
Pd  0.000  0.000  0.500
Pd  0.000  0.500  0.867
Pd  0.500  0.000  0.133
Pd  0.500  0.500  0.500

---

6.
VASP calculation (PBE-GGA) on an optimized crystal structure of Pr2Ga3Ni4Pd.

Summary:
D(E_F): 0.873 states/eV per atom
Size of the total moment: 0.000 Bohr magnetons per cell
Total DFT energy (no corrections): -52.1 eV per cell
Crystal system: tetragonal

Cell lengths 4.107, 4.107, 10.300 Å; angles 90.00, 90.00, 90.00 degrees
Fractional coordinates of all 10 atoms:
Pr  0.000  0.500  0.250
Pr  0.500  0.000  0.750
Ga  0.000  0.000  0.000
Ga  0.000  0.500  0.621
Ga  0.500  0.000  0.379
Ni  0.000  0.000  0.500
Ni  0.000  0.500  0.855
Ni  0.500  0.000  0.145
Ni  0.500  0.500  0.500
Pd  0.500  0.500  0.000

---

7.
VASP calculation (PBE-GGA) on an optimized crystal structure of Ga2NiPdPt5.

Summary:
D(E_F): 1.163 states/eV per atom
Size of the total moment: 2.623 Bohr magnetons per cell
Total DFT energy (no corrections): -93.2 eV per cell
Crystal system: tetragonal

Cell lengths 7.576, 7.576, 7.576 Å; angles 123.01, 123.01, 84.85 degrees
Fractional coordinates of all 18 atoms:
Ga  0.111  0.611  0.722
Ga  0.389  0.111  0.500
Ga  0.611  0.889  0.500
Ga  0.889  0.389  0.278
Ni  0.250  0.250  0.000
Ni  0.750  0.750  0.000
Pd  0.250  0.750  0.500
Pd  0.750  0.250  0.500
Pt  0.000  0.000  0.000
Pt  0.079  0.155  0.500
Pt  0.155  0.655  0.076
Pt  0.345  0.421  0.500
Pt  0.421  0.921  0.076
Pt  0.500  0.500  0.000
Pt  0.579  0.079  0.924
Pt  0.655  0.579  0.500
Pt  0.845  0.345  0.924
Pt  0.921  0.845  0.500

---

8.
VASP calculation (PBE-GGA) on an optimized crystal structure of Pu2Ga4NiPd3.

Summary:
D(E_F): 2.870 states/eV per atom
Size of the total moment: 11.639 Bohr magnetons per cell
Total DFT energy (no corrections): -67.3 eV per cell
Crystal system: tetragonal

Cell lengths 4.268, 4.268, 10.284 Å; angles 90.00, 90.00, 90.00 degrees
Fractional coordinates of all 10 atoms:
Pu  0.000  0.500  0.242
Pu  0.500  0.000  0.758
Ga  0.000  0.000  0.500
Ga  0.000  0.500  0.879
Ga  0.500  0.000  0.121
Ga  0.500  0.500  0.500
Ni  0.500  0.500  0.000
Pd  0.000  0.000  0.000
Pd  0.000  0.500  0.636
Pd  0.500  0.000  0.364

---

9.
VASP calculation (PBE-GGA) on an optimized crystal structure of PuGa3NiPd.

Summary:
D(E_F): 1.908 states/eV per atom
Size of the total moment: 10.795 Bohr magnetons per cell
Total DFT energy (no corrections): -71.8 eV per cell
Crystal system: orthorhombic

Cell lengths 7.311, 7.311, 5.396 Å; angles 90.00, 90.00, 131.90 degrees
Fractional coordinates of all 12 atoms:
Pu  0.191  0.809  0.750
Pu  0.809  0.191  0.250
Ga  0.220  0.220  0.000
Ga  0.220  0.220  0.500
Ga  0.339  0.661  0.250
Ga  0.661  0.339  0.750
Ga  0.780  0.780  0.000
Ga  0.780  0.780  0.500
Ni  0.135  0.865  0.250
Ni  0.865  0.135  0.750
Pd  0.395  0.605  0.750
Pd  0.605  0.395  0.250

---

10.
VASP calculation (PBE-GGA) on an optimized crystal structure of PuGa4NiPd2.

Summary:
D(E_F): 1.520 states/eV per atom
Size of the total moment: 5.528 Bohr magnetons per cell
Total DFT energy (no corrections): -46.3 eV per cell
Crystal system: trigonal

Cell lengths 8.984, 8.984, 8.984 Å; angles 27.50, 27.50, 27.50 degrees
Fractional coordinates of all 8 atoms:
Pu  0.000  0.000  0.000
Ga  0.133  0.133  0.133
Ga  0.401  0.401  0.401
Ga  0.599  0.599  0.599
Ga  0.867  0.867  0.867
Ni  0.500  0.500  0.500
Pd  0.236  0.236  0.236
Pd  0.764  0.764  0.764

---

11.
VASP calculation (PBE-GGA) on an optimized crystal structure of Pu2Ga5Ni2Pd.

Summary:
D(E_F): 1.619 states/eV per atom
Size of the total moment: 21.923 Bohr magnetons per cell
Total DFT energy (no corrections): -128.8 eV per cell
Crystal system: tetragonal

Cell lengths 10.781, 10.781, 2.888 Å; angles 90.00, 90.00, 90.00 degrees
Fractional coordinates of all 20 atoms:
Pu  0.178  0.322  0.000
Pu  0.322  0.822  0.000
Pu  0.678  0.178  0.000
Pu  0.822  0.678  0.000
Ga  0.000  0.500  0.500
Ga  0.056  0.801  0.500
Ga  0.199  0.056  0.500
Ga  0.301  0.556  0.500
Ga  0.444  0.301  0.500
Ga  0.500  0.000  0.500
Ga  0.556  0.699  0.500
Ga  0.699  0.444  0.500
Ga  0.801  0.944  0.500
Ga  0.944  0.199  0.500
Ni  0.130  0.630  0.000
Ni  0.370  0.130  0.000
Ni  0.630  0.870  0.000
Ni  0.870  0.370  0.000
Pd  0.000  0.000  0.000
Pd  0.500  0.500  0.000

---

12.
VASP calculation (PBE-GGA) on an optimized crystal structure of GaReNi2Pd.

Summary:
D(E_F): 1.976 states/eV per atom
Size of the total moment: 3.828 Bohr magnetons per cell
Total DFT energy (no corrections): -26.3 eV per cell
Crystal system: tetragonal

Cell lengths 4.280, 4.280, 4.520 Å; angles 90.00, 90.00, 90.00 degrees
Fractional coordinates of all 5 atoms:
Ga  0.000  0.000  0.000
Re  0.500  0.500  0.500
Ni  0.000  0.500  0.000
Ni  0.500  0.000  0.000
Pd  0.000  0.000  0.500

---

13.
VASP calculation (PBE-GGA) on an optimized crystal structure of GaNiPdRh.

Summary:
D(E_F): 1.347 states/eV per atom
Size of the total moment: 0.971 Bohr magnetons per cell
Total DFT energy (no corrections): -22.8 eV per cell
Crystal system: cubic

Cell lengths 4.262, 4.262, 4.262 Å; angles 60.00, 60.00, 60.00 degrees
Fractional coordinates of all 4 atoms:
Ga  0.000  0.000  0.000
Ni  0.500  0.500  0.500
Pd  0.750  0.750  0.750
Rh  0.250  0.250  0.250

---

14.
VASP calculation (PBE-GGA) on an optimized crystal structure of GaNiPdRu.

Summary:
D(E_F): 0.699 states/eV per atom
Size of the total moment: 1.988 Bohr magnetons per cell
Total DFT energy (no corrections): -24.0 eV per cell
Crystal system: cubic

Cell lengths 4.262, 4.262, 4.262 Å; angles 60.00, 60.00, 60.00 degrees
Fractional coordinates of all 4 atoms:
Ga  0.000  0.000  0.000
Ni  0.500  0.500  0.500
Pd  0.750  0.750  0.750
Ru  0.250  0.250  0.250

---

15.
VASP calculation (PBE-GGA) on an optimized crystal structure of GaNi7Sb2Pd2.

Summary:
D(E_F): 1.062 states/eV per atom
Size of the total moment: 1.958 Bohr magnetons per cell
Formation energy without anion corrections: -0.079 eV/atom
Total DFT energy (no corrections): -63.1 eV per cell
Crystal system: monoclinic

Cell lengths 3.473, 3.473, 14.366 Å; angles 96.83, 96.83, 89.98 degrees
Fractional coordinates of all 12 atoms:
Ga  0.000  0.000  0.000
Ni  0.063  0.563  0.129
Ni  0.271  0.271  0.540
Ni  0.437  0.937  0.871
Ni  0.500  0.500  0.000
Ni  0.563  0.063  0.129
Ni  0.729  0.729  0.460
Ni  0.937  0.437  0.871
Sb  0.180  0.180  0.364
Sb  0.820  0.820  0.636
Pd  0.368  0.368  0.731
Pd  0.632  0.632  0.269

---

16.
VASP calculation (PBE-GGA) on an optimized crystal structure of GaSiNi2Pd.

Summary:
D(E_F): 0.766 states/eV per atom
Size of the total moment: 0.000 Bohr magnetons per cell
Formation energy without anion corrections: 0.395 eV/atom
Total DFT energy (no corrections): -23.2 eV per cell
Crystal system: tetragonal

Cell lengths 4.179, 4.179, 4.630 Å; angles 90.00, 90.00, 90.00 degrees
Fractional coordinates of all 5 atoms:
Ga  0.000  0.000  0.000
Si  0.000  0.000  0.500
Ni  0.000  0.500  0.500
Ni  0.500  0.000  0.500
Pd  0.500  0.500  0.000

---

17.
VASP calculation (PBE-GGA) on an optimized crystal structure of Sm2Ga4NiPd3.

Summary:
D(E_F): 0.814 states/eV per atom
Size of the total moment: 0.000 Bohr magnetons per cell
Total DFT energy (no corrections): -50.2 eV per cell
Crystal system: tetragonal

Cell lengths 4.292, 4.292, 10.192 Å; angles 90.00, 90.00, 90.00 degrees
Fractional coordinates of all 10 atoms:
Sm  0.000  0.500  0.245
Sm  0.500  0.000  0.755
Ga  0.000  0.000  0.500
Ga  0.000  0.500  0.878
Ga  0.500  0.000  0.122
Ga  0.500  0.500  0.500
Ni  0.500  0.500  0.000
Pd  0.000  0.000  0.000
Pd  0.000  0.500  0.635
Pd  0.500  0.000  0.365

---

18.
VASP calculation (PBE-GGA) on an optimized crystal structure of Sm2Ga3Ni12Pd.

Summary:
D(E_F): 1.126 states/eV per atom
Size of the total moment: 0.000 Bohr magnetons per cell
Total DFT energy (no corrections): -94.2 eV per cell
Crystal system: trigonal

Cell lengths 6.382, 6.382, 6.382 Å; angles 84.55, 84.55, 84.55 degrees
Fractional coordinates of all 18 atoms:
Sm  0.182  0.182  0.182
Sm  0.818  0.818  0.818
Ga  0.000  0.500  0.500
Ga  0.500  0.000  0.500
Ga  0.500  0.500  0.000
Ni  0.098  0.098  0.622
Ni  0.098  0.622  0.098
Ni  0.211  0.698  0.698
Ni  0.302  0.302  0.789
Ni  0.302  0.789  0.302
Ni  0.378  0.902  0.902
Ni  0.622  0.098  0.098
Ni  0.698  0.211  0.698
Ni  0.698  0.698  0.211
Ni  0.789  0.302  0.302
Ni  0.902  0.378  0.902
Ni  0.902  0.902  0.378
Pd  0.500  0.500  0.500

---

19.
VASP calculation (PBE-GGA) on an optimized crystal structure of SmGa5Ni2Pd.

Summary:
D(E_F): 0.335 states/eV per atom
Size of the total moment: 0.000 Bohr magnetons per cell
Total DFT energy (no corrections): -39.7 eV per cell
Crystal system: tetragonal

Cell lengths 4.665, 4.665, 7.097 Å; angles 90.00, 90.00, 90.00 degrees
Fractional coordinates of all 9 atoms:
Sm  0.000  0.000  0.000
Ga  0.000  0.500  0.303
Ga  0.000  0.500  0.697
Ga  0.500  0.000  0.303
Ga  0.500  0.000  0.697
Ga  0.500  0.500  0.000
Ni  0.500  0.500  0.322
Ni  0.500  0.500  0.678
Pd  0.000  0.000  0.500

---

20.
VASP calculation (PBE-GGA) on an optimized crystal structure of Sm2Ga3Ni4Pd.

Summary:
D(E_F): 0.622 states/eV per atom
Size of the total moment: 0.000 Bohr magnetons per cell
Total DFT energy (no corrections): -52.2 eV per cell
Crystal system: tetragonal

Cell lengths 3.914, 3.914, 10.971 Å; angles 90.00, 90.00, 90.00 degrees
Fractional coordinates of all 10 atoms:
Sm  0.000  0.500  0.243
Sm  0.500  0.000  0.757
Ga  0.000  0.000  0.000
Ga  0.000  0.500  0.628
Ga  0.500  0.000  0.372
Ni  0.000  0.000  0.500
Ni  0.000  0.500  0.848
Ni  0.500  0.000  0.152
Ni  0.500  0.500  0.500
Pd  0.500  0.500  0.000

---

21.
VASP calculation (PBE-GGA) on an optimized crystal structure of SmGa4NiPd2.

Summary:
D(E_F): 0.480 states/eV per atom
Size of the total moment: 0.000 Bohr magnetons per cell
Total DFT energy (no corrections): -37.8 eV per cell
Crystal system: trigonal

Cell lengths 9.055, 9.055, 9.055 Å; angles 27.21, 27.21, 27.21 degrees
Fractional coordinates of all 8 atoms:
Sm  0.000  0.000  0.000
Ga  0.135  0.135  0.135
Ga  0.402  0.402  0.402
Ga  0.598  0.598  0.598
Ga  0.865  0.865  0.865
Ni  0.500  0.500  0.500
Pd  0.237  0.237  0.237
Pd  0.763  0.763  0.763

---

22.
VASP calculation (PBE-GGA) on an optimized crystal structure of Sm2Ga5Ni2Pd.

Summary:
D(E_F): 0.567 states/eV per atom
Size of the total moment: 0.000 Bohr magnetons per cell
Total DFT energy (no corrections): -93.6 eV per cell
Crystal system: tetragonal

Cell lengths 9.301, 9.301, 4.071 Å; angles 90.00, 90.00, 90.00 degrees
Fractional coordinates of all 20 atoms:
Sm  0.185  0.315  0.000
Sm  0.315  0.815  0.000
Sm  0.685  0.185  0.000
Sm  0.815  0.685  0.000
Ga  0.000  0.500  0.500
Ga  0.057  0.794  0.500
Ga  0.206  0.057  0.500
Ga  0.294  0.557  0.500
Ga  0.443  0.294  0.500
Ga  0.500  0.000  0.500
Ga  0.557  0.706  0.500
Ga  0.706  0.443  0.500
Ga  0.794  0.943  0.500
Ga  0.943  0.206  0.500
Ni  0.108  0.608  0.000
Ni  0.392  0.108  0.000
Ni  0.608  0.892  0.000
Ni  0.892  0.392  0.000
Pd  0.000  0.000  0.000
Pd  0.500  0.500  0.000

---

23.
VASP calculation (PBE-GGA) on an optimized crystal structure of SmGa2Ni2Pd.

Summary:
D(E_F): 0.487 states/eV per atom
Size of the total moment: 0.000 Bohr magnetons per cell
Total DFT energy (no corrections): -28.0 eV per cell
Crystal system: tetragonal

Cell lengths 4.656, 4.656, 5.351 Å; angles 90.00, 90.00, 90.00 degrees
Fractional coordinates of all 6 atoms:
Sm  0.000  0.000  0.000
Ga  0.000  0.500  0.500
Ga  0.500  0.000  0.500
Ni  0.500  0.500  0.246
Ni  0.500  0.500  0.754
Pd  0.000  0.000  0.500